1.
Zr2ReSi | meta-GGA SCAN | single point on PBEsol structure

The uncorrected energy is -2.6439 Ry per atom. For the uncorrected formation energy, the calculation gives -1.38 eV/f.u.

It has space group I4/mmm (No. 139), with a = 4.3170 Å, b = 4.3170 Å, c = 7.4149 Å, α = 90.00°, β = 90.00° and γ = 90.00°. The asymmetric unit holds Zr at (0.0000, 0.5000, 0.2500), Re at (0.0000, 0.0000, 0.0000) and Si at (0.0000, 0.0000, 0.5000).



2.
ZrRe3Si | meta-GGA SCAN | single point on PBEsol structure

The uncorrected energy is -3.6884 Ry per atom. For the uncorrected formation energy, the calculation gives 3.09 eV/f.u.

It has space group Pm-3m (No. 221), with a = 4.4057 Å, b = 4.4057 Å, c = 4.4057 Å, α = 90.00°, β = 90.00° and γ = 90.00°. The asymmetric unit holds Zr at (0.0000, 0.0000, 0.0000), Re at (0.0000, 0.5000, 0.5000) and Si at (0.5000, 0.5000, 0.5000).



3.
Sr3ReSn | meta-GGA SCAN | single point on PBEsol structure

The uncorrected energy is -2.5043 Ry per atom. As for the energy of formation from the pure elements: 0.70 eV/atom.

It has space group Pm-3m (No. 221), with a = 5.5981 Å, b = 5.5981 Å, c = 5.5981 Å, α = 90.00°, β = 90.00° and γ = 90.00°. The asymmetric unit holds Sr at (0.0000, 0.0000, 0.5000), Re at (0.0000, 0.0000, 0.0000) and Sn at (0.5000, 0.5000, 0.5000).



4.
SrReSn3 | meta-GGA SCAN | single point on PBEsol structure

The uncorrected energy is -2.9489 Ry per atom. As for the energy of formation from the pure elements: 0.11 eV/atom.

It has space group Pm-3m (No. 221), with a = 5.1955 Å, b = 5.1955 Å, c = 5.1955 Å, α = 90.00°, β = 90.00° and γ = 90.00°. The asymmetric unit holds Sr at (0.0000, 0.0000, 0.0000), Re at (0.5000, 0.5000, 0.5000) and Sn at (0.0000, 0.5000, 0.5000).



5.
ZnReTcSn2 | meta-GGA SCAN | single point on PBEsol structure

The uncorrected energy is -2.7348 Ry per atom. As for the energy of formation from the pure elements: 1.09 eV/atom.

It has space group P4/mmm (No. 123), with a = 5.1269 Å, b = 5.1269 Å, c = 4.6823 Å, α = 90.00°, β = 90.00° and γ = 90.00°. The asymmetric unit holds Zn at (0.0000, 0.0000, 0.0000), Re at (0.5000, 0.5000, 0.5000), Tc at (0.5000, 0.5000, 0.0000) and Sn at (0.0000, 0.5000, 0.5000).



6.
ReSnTe3 | meta-GGA SCAN | single point on PBEsol structure

The uncorrected energy is -3.0941 Ry per atom. For the uncorrected formation energy, the calculation gives 8.29 eV/f.u.

It has space group Pm-3m (No. 221), with a = 5.5544 Å, b = 5.5544 Å, c = 5.5544 Å, α = 90.00°, β = 90.00° and γ = 90.00°. The asymmetric unit holds Re at (0.0000, 0.0000, 0.0000), Sn at (0.5000, 0.5000, 0.5000) and Te at (0.0000, 0.5000, 0.5000).



> Among the records above, which one has the lowest uncorrected energy?

ZrRe3Si



> Which of these has the lowest uncorrected energy?

ZrRe3Si



> What is the uncorrected energy in the fifth record?

-2.7348 Ry per atom



> Number 2 is which compound?

ZrRe3Si